Entry 1:
AsBr2F (PBE, relaxed); distance to the lowest polymorph of the same formula = 780.6 meV/atom; E_tot = -2.673 eV per atom; DOS(E_F) = 0.000 states/eV per atom; E_form (uncorrected) = -207 meV per atom
1.0
7.2411 0.0000 0.0000
0.0000 7.2411 0.0000
0.0000 0.0000 7.2305
As Br F
4 8 4
Direct
0.0000 0.0000 0.0000
0.0000 0.5000 0.2500
0.5000 0.0000 0.7500
0.5000 0.5000 0.5000
0.2266 0.7500 0.1250
0.2500 0.2266 0.8750
0.2500 0.2734 0.3750
0.2734 0.7500 0.6250
0.7266 0.2500 0.6250
0.7500 0.7266 0.3750
0.7500 0.7734 0.8750
0.7734 0.2500 0.1250
0.0000 0.0000 0.5000
0.0000 0.5000 0.7500
0.5000 0.0000 0.2500
0.5000 0.5000 0.0000

=====

Entry 2:
LiBi2Pb2 (PBE, relaxed); distance to the lowest polymorph of the same formula = 91.6 meV/atom; formation energy from the elements = -0.002 eV per atom; E_tot = -3.420 eV per atom; DOS(E_F) = 0.548 states/eV per atom
1.0
8.7775 0.0000 0.0000
0.0000 8.7775 0.0000
0.0000 0.0000 4.2190
Li Bi Pb
2 4 4
Direct
0.0000 0.0000 0.0000
0.5000 0.5000 0.0000
0.1539 0.3461 0.0000
0.3461 0.8461 0.0000
0.6539 0.1539 0.0000
0.8461 0.6539 0.0000
0.1422 0.6422 0.5000
0.3578 0.1422 0.5000
0.6422 0.8578 0.5000
0.8578 0.3578 0.5000

=====

Entry 3:
NaRe2Ir (PBE, relaxed); distance to the lowest polymorph of the same formula = 103.6 meV/atom; formation energy from the elements = 1.115 eV per atom; E_tot = -7.654 eV per atom; DOS(E_F) = 0.516 states/eV per atom
1.0
7.5880 0.0000 0.0000
0.0000 7.5880 0.0000
0.0000 0.0000 5.0949
Na Re Ir
4 8 4
Direct
0.0000 0.0000 0.0000
0.0000 0.5000 0.2500
0.5000 0.0000 0.7500
0.5000 0.5000 0.5000
0.1912 0.2500 0.6250
0.2500 0.6912 0.8750
0.2500 0.8088 0.3750
0.3088 0.2500 0.1250
0.6912 0.7500 0.1250
0.7500 0.1912 0.3750
0.7500 0.3088 0.8750
0.8088 0.7500 0.6250
0.0000 0.0000 0.5000
0.0000 0.5000 0.7500
0.5000 0.0000 0.2500
0.5000 0.5000 0.0000